## a
Density functional theory data (GGA-PBE) for TlPCl2 after structural relaxation.

CIF file:
```
data_TlPCl2
_chemical_formula_sum 'Tl4 P4 Cl8'
_cell_length_a 5.692
_cell_length_b 5.692
_cell_length_c 15.857
_cell_angle_alpha 90.00
_cell_angle_beta 90.00
_cell_angle_gamma 90.00
_space_group_name_H-M_alt 'I -4 2 d'
_space_group_IT_number 122
_space_group_name_Hall 'I -4 2bw'
loop_
_atom_site_label
_atom_site_fract_x
_atom_site_fract_y
_atom_site_fract_z
_atom_site_occupancy
Tl1 0.000 0.000 0.000 1
P1 0.000 0.000 0.500 1
Cl1 0.140 0.250 0.625 1
```

Results
Spin magnetization   0.00 μB per atom
Calculated density   3.960 g/cm³
Volume   128.4 Å³/f.u.
Crystal system   tetragonal
DOS at the Fermi energy   0.02 states/eV/f.u.

***

## b
Density functional theory data (GGA-PBE) for TlPCl2 after structural relaxation.

CIF file:
```
data_TlPCl2
_chemical_formula_sum 'Tl3 P3 Cl6'
_cell_length_a 3.3266
_cell_length_b 3.3266
_cell_length_c 29.7243
_cell_angle_alpha 90.00
_cell_angle_beta 90.00
_cell_angle_gamma 120.00
_space_group_name_H-M_alt 'R -3 m'
_space_group_IT_number 166
_space_group_name_Hall '-R 3 2"'
loop_
_atom_site_label
_atom_site_fract_x
_atom_site_fract_y
_atom_site_fract_z
_atom_site_occupancy
Tl1 0.0000 0.0000 0.0000 1
P1 0.0000 0.0000 0.5000 1
Cl1 0.0000 0.0000 0.1000 1
```

Results
Spin magnetization   0.00 μB per atom
Calculated density   5.356 g/cm³
Volume   95.0 Å³/f.u.
Crystal system   trigonal
DOS at the Fermi energy   2.99 states/eV/f.u.

***

## c
Density functional theory data (GGA-PBE) for TlPCl2 after structural relaxation.

CIF file:
```
data_TlPCl2
_chemical_formula_sum 'Tl2 P2 Cl4'
_cell_length_a 8.080
_cell_length_b 8.061
_cell_length_c 3.254
_cell_angle_alpha 90.00
_cell_angle_beta 90.28
_cell_angle_gamma 90.00
_space_group_name_H-M_alt 'C 1 2/m 1'
_space_group_IT_number 12
_space_group_name_Hall '-C 2y'
loop_
_atom_site_label
_atom_site_fract_x
_atom_site_fract_y
_atom_site_fract_z
_atom_site_occupancy
Tl1 0.000 0.000 0.000 1
P1 0.000 0.500 0.000 1
Cl1 0.250 0.250 0.000 1
```

Results
Spin magnetization   0.05 μB per atom
Calculated density   4.800 g/cm³
Volume   106.0 Å³/f.u.
Crystal system   monoclinic
DOS at the Fermi energy   2.47 states/eV/f.u.

***

Name the least stable of them. b.

***

## a
Density functional theory data (GGA-PBE) for TlPCl2 after structural relaxation.

CIF file:
```
data_TlPCl2
_chemical_formula_sum 'Tl4 P4 Cl8'
_cell_length_a 7.171
_cell_length_b 7.171
_cell_length_c 7.171
_cell_angle_alpha 90.00
_cell_angle_beta 90.00
_cell_angle_gamma 90.00
_space_group_name_H-M_alt 'F -4 3 m'
_space_group_IT_number 216
_space_group_name_Hall 'F -4 2 3'
loop_
_atom_site_label
_atom_site_fract_x
_atom_site_fract_y
_atom_site_fract_z
_atom_site_occupancy
Tl1 0.000 0.000 0.000 1
P1 0.250 0.250 0.750 1
Cl1 0.000 0.000 0.500 1
Cl2 0.250 0.250 0.250 1
```

Results
Spin magnetization   0.50 μB per atom
Calculated density   5.517 g/cm³
Volume   92.2 Å³/f.u.
Crystal system   cubic
DOS at the Fermi energy   1.68 states/eV/f.u.

***

## b
Density functional theory data (GGA-PBE) for TlPCl2 after structural relaxation.

CIF file:
```
data_TlPCl2
_chemical_formula_sum 'Tl3 P3 Cl6'
_cell_length_a 3.5352
_cell_length_b 3.5352
_cell_length_c 28.2612
_cell_angle_alpha 90.00
_cell_angle_beta 90.00
_cell_angle_gamma 120.00
_space_group_name_H-M_alt 'R -3 m'
_space_group_IT_number 166
_space_group_name_Hall '-R 3 2"'
loop_
_atom_site_label
_atom_site_fract_x
_atom_site_fract_y
_atom_site_fract_z
_atom_site_occupancy
Tl1 0.0000 0.0000 0.0000 1
P1 0.0000 0.0000 0.5000 1
Cl1 0.0000 0.0000 0.4187 1
```

Results
Spin magnetization   0.00 μB per atom
Calculated density   4.988 g/cm³
Volume   102.0 Å³/f.u.
Crystal system   trigonal
DOS at the Fermi energy   1.38 states/eV/f.u.

***

## c
Density functional theory data (GGA-PBE) for TlPCl2 after structural relaxation.

CIF file:
```
data_TlPCl2
_chemical_formula_sum 'Tl1 P1 Cl2'
_cell_length_a 5.324
_cell_length_b 3.547
_cell_length_c 6.407
_cell_angle_alpha 90.00
_cell_angle_beta 114.20
_cell_angle_gamma 90.00
_space_group_name_H-M_alt 'P 1 2/m 1'
_space_group_IT_number 10
_space_group_name_Hall '-P 2y'
loop_
_atom_site_label
_atom_site_fract_x
_atom_site_fract_y
_atom_site_fract_z
_atom_site_occupancy
Tl1 0.000 0.000 0.000 1
P1 0.000 0.000 0.500 1
Cl1 0.337 0.500 0.698 1
```

Results
Spin magnetization   0.00 μB per atom
Calculated density   4.609 g/cm³
Volume   110.3 Å³/f.u.
Crystal system   monoclinic
DOS at the Fermi energy   1.11 states/eV/f.u.

***

## d
Density functional theory data (GGA-PBE) for TlPCl2 after structural relaxation.

CIF file:
```
data_TlPCl2
_chemical_formula_sum 'Tl2 P2 Cl4'
_cell_length_a 3.405
_cell_length_b 6.577
_cell_length_c 9.255
_cell_angle_alpha 90.00
_cell_angle_beta 90.00
_cell_angle_gamma 90.00
_space_group_name_H-M_alt 'C m m m'
_space_group_IT_number 65
_space_group_name_Hall '-C 2 2'
loop_
_atom_site_label
_atom_site_fract_x
_atom_site_fract_y
_atom_site_fract_z
_atom_site_occupancy
Tl1 0.000 0.000 0.000 1
P1 0.000 0.000 0.500 1
Cl1 0.000 0.500 0.310 1
```

Results
Spin magnetization   0.00 μB per atom
Calculated density   4.907 g/cm³
Volume   103.6 Å³/f.u.
Crystal system   orthorhombic
DOS at the Fermi energy   1.71 states/eV/f.u.

***

Name the least stable of them. a.

***

## a
Density functional theory data (GGA-PBE) for TlPCl after structural relaxation.

CIF file:
```
data_TlPCl
_chemical_formula_sum 'Tl2 P2 Cl2'
_cell_length_a 3.473
_cell_length_b 5.093
_cell_length_c 10.501
_cell_angle_alpha 90.00
_cell_angle_beta 90.00
_cell_angle_gamma 90.00
_space_group_name_H-M_alt 'I m m 2'
_space_group_IT_number 44
_space_group_name_Hall 'I 2 -2'
loop_
_atom_site_label
_atom_site_fract_x
_atom_site_fract_y
_atom_site_fract_z
_atom_site_occupancy
Tl1 0.000 0.000 0.000 1
P1 0.000 0.000 0.474 1
Cl1 0.000 0.000 0.676 1
```

Results
Spin magnetization   0.00 μB per atom
Calculated density   4.841 g/cm³
Volume   92.9 Å³/f.u.
Crystal system   orthorhombic
DOS at the Fermi energy   1.04 states/eV/f.u.

***

## b
Density functional theory data (GGA-PBE) for TlPCl after structural relaxation.

CIF file:
```
data_TlPCl
_chemical_formula_sum 'Tl1 P1 Cl1'
_cell_length_a 4.4545
_cell_length_b 4.4545
_cell_length_c 4.6812
_cell_angle_alpha 90.00
_cell_angle_beta 90.00
_cell_angle_gamma 120.00
_space_group_name_H-M_alt 'P 3 m 1'
_space_group_IT_number 156
_space_group_name_Hall 'P 3 -2"'
loop_
_atom_site_label
_atom_site_fract_x
_atom_site_fract_y
_atom_site_fract_z
_atom_site_occupancy
Tl1 0.0000 0.0000 0.0000 1
P1 0.3333 0.6667 0.9004 1
Cl1 0.6667 0.3333 0.4523 1
```

Results
Spin magnetization   0.29 μB per atom
Calculated density   5.590 g/cm³
Volume   80.4 Å³/f.u.
Crystal system   trigonal
DOS at the Fermi energy   1.42 states/eV/f.u.

***

## c
Density functional theory data (GGA-PBE) for TlPCl after structural relaxation.

CIF file:
```
data_TlPCl
_chemical_formula_sum 'Tl2 P2 Cl2'
_cell_length_a 4.142
_cell_length_b 4.142
_cell_length_c 10.933
_cell_angle_alpha 90.00
_cell_angle_beta 90.00
_cell_angle_gamma 90.00
_space_group_name_H-M_alt 'I 4 m m'
_space_group_IT_number 107
_space_group_name_Hall 'I 4 -2'
loop_
_atom_site_label
_atom_site_fract_x
_atom_site_fract_y
_atom_site_fract_z
_atom_site_occupancy
Tl1 0.000 0.000 0.000 1
P1 0.000 0.000 0.504 1
Cl1 0.000 0.000 0.700 1
```

Results
Spin magnetization   0.00 μB per atom
Calculated density   4.796 g/cm³
Volume   93.8 Å³/f.u.
Crystal system   tetragonal
DOS at the Fermi energy   0.91 states/eV/f.u.

***

Name the least stable of them. b.

***

## a
Density functional theory data (GGA-PBE) for TlPCl after structural relaxation.

CIF file:
```
data_TlPCl
_chemical_formula_sum 'Tl4 P4 Cl4'
_cell_length_a 6.733
_cell_length_b 6.733
_cell_length_c 6.733
_cell_angle_alpha 90.00
_cell_angle_beta 90.00
_cell_angle_gamma 90.00
_space_group_name_H-M_alt 'F -4 3 m'
_space_group_IT_number 216
_space_group_name_Hall 'F -4 2 3'
loop_
_atom_site_label
_atom_site_fract_x
_atom_site_fract_y
_atom_site_fract_z
_atom_site_occupancy
Tl1 0.000 0.000 0.000 1
P1 0.250 0.250 0.250 1
Cl1 0.000 0.000 0.500 1
```

Results
Spin magnetization   0.00 μB per atom
Calculated density   5.894 g/cm³
Volume   76.3 Å³/f.u.
Crystal system   cubic
DOS at the Fermi energy   2.56 states/eV/f.u.

***

## b
Density functional theory data (GGA-PBE) for TlPCl after structural relaxation.

CIF file:
```
data_TlPCl
_chemical_formula_sum 'Tl4 P4 Cl4'
_cell_length_a 4.314
_cell_length_b 5.980
_cell_length_c 11.516
_cell_angle_alpha 90.00
_cell_angle_beta 90.00
_cell_angle_gamma 90.00
_space_group_name_H-M_alt 'F m m 2'
_space_group_IT_number 42
_space_group_name_Hall 'F 2 -2'
loop_
_atom_site_label
_atom_site_fract_x
_atom_site_fract_y
_atom_site_fract_z
_atom_site_occupancy
Tl1 0.000 0.000 0.000 1
P1 0.000 0.000 0.368 1
Cl1 0.000 0.000 0.681 1
```

Results
Spin magnetization   0.00 μB per atom
Calculated density   6.055 g/cm³
Volume   74.3 Å³/f.u.
Crystal system   orthorhombic
DOS at the Fermi energy   1.71 states/eV/f.u.

***

## c
Density functional theory data (GGA-PBE) for TlPCl after structural relaxation.

CIF file:
```
data_TlPCl
_chemical_formula_sum 'Tl4 P4 Cl4'
_cell_length_a 6.845
_cell_length_b 6.845
_cell_length_c 6.845
_cell_angle_alpha 90.00
_cell_angle_beta 90.00
_cell_angle_gamma 90.00
_space_group_name_H-M_alt 'F -4 3 m'
_space_group_IT_number 216
_space_group_name_Hall 'F -4 2 3'
loop_
_atom_site_label
_atom_site_fract_x
_atom_site_fract_y
_atom_site_fract_z
_atom_site_occupancy
Tl1 0.000 0.000 0.000 1
P1 0.250 0.250 0.750 1
Cl1 0.250 0.250 0.250 1
```

Results
Spin magnetization   0.22 μB per atom
Calculated density   5.609 g/cm³
Volume   80.2 Å³/f.u.
Crystal system   cubic
DOS at the Fermi energy   3.26 states/eV/f.u.

***

Name the least stable of them. c.

***

## a
Density functional theory data (GGA-PBE) for TlP3Cl after structural relaxation.

CIF file:
```
data_TlP3Cl
_chemical_formula_sum 'Tl1 P3 Cl1'
_cell_length_a 4.777
_cell_length_b 4.777
_cell_length_c 4.777
_cell_angle_alpha 90.00
_cell_angle_beta 90.00
_cell_angle_gamma 90.00
_space_group_name_H-M_alt 'P m -3 m'
_space_group_IT_number 221
_space_group_name_Hall '-P 4 2 3'
loop_
_atom_site_label
_atom_site_fract_x
_atom_site_fract_y
_atom_site_fract_z
_atom_site_occupancy
Tl1 0.000 0.000 0.000 1
P1 0.000 0.500 0.500 1
Cl1 0.500 0.500 0.500 1
```

Results
Spin magnetization   0.00 μB per atom
Calculated density   5.068 g/cm³
Volume   109.0 Å³/f.u.
Crystal system   cubic
DOS at the Fermi energy   5.05 states/eV/f.u.

***

## b
Density functional theory data (GGA-PBE) for TlP3Cl after structural relaxation.

CIF file:
```
data_TlP3Cl
_chemical_formula_sum 'Tl1 P3 Cl1'
_cell_length_a 5.278
_cell_length_b 5.278
_cell_length_c 5.278
_cell_angle_alpha 90.00
_cell_angle_beta 90.00
_cell_angle_gamma 90.00
_space_group_name_H-M_alt 'P m -3 m'
_space_group_IT_number 221
_space_group_name_Hall '-P 4 2 3'
loop_
_atom_site_label
_atom_site_fract_x
_atom_site_fract_y
_atom_site_fract_z
_atom_site_occupancy
Tl1 0.000 0.000 0.000 1
P1 0.000 0.000 0.500 1
Cl1 0.500 0.500 0.500 1
```

Results
Spin magnetization   0.71 μB per atom
Calculated density   3.758 g/cm³
Volume   147.0 Å³/f.u.
Crystal system   cubic
DOS at the Fermi energy   4.26 states/eV/f.u.

***

Name the least stable of them. b.